Version A
Material: NbCdSN2
Method: DFT, PBE-GGA
State: relaxed

As for the spin magnetization: 0.5 μB per cell.

a = 4.0067 Å, b = 4.0067 Å, c = 5.2981 Å
α = 90.00°, β = 90.00°, γ = 90.00°
Each line ends with the local moment (μB).
Fractional coordinates of all 5 atoms:
Nb1 0.0000 0.0000 0.0000  -0.05
N1 0.0000 0.5000 0.0000  0.22
N2 0.5000 0.0000 0.0000  0.22
S1 0.0000 0.0000 0.5000  0.00
Cd1 0.5000 0.5000 0.5000  0.00

***

Version B
Material: NbCdSN2
Method: DFT, PBE-GGA
State: relaxed

As for the spin magnetization: 0.1 μB per cell.

a = 4.0994 Å, b = 4.0994 Å, c = 5.0356 Å
α = 90.00°, β = 90.00°, γ = 90.00°
Each line ends with the local moment (μB).
Fractional coordinates of all 5 atoms:
Nb1 0.5000 0.5000 0.5000  -2.04
N1 0.0000 0.5000 0.0000  0.76
N2 0.5000 0.0000 0.0000  0.76
S1 0.0000 0.0000 0.5000  0.17
Cd1 0.0000 0.0000 0.0000  0.05

***

Short version: version A is the most stable of them.

***

Version A
Material: NbCdSeN2
Method: DFT, PBE-GGA
State: relaxed

As for the spin magnetization: 0.0 μB per cell.

a = 4.0720 Å, b = 4.0720 Å, c = 5.1857 Å
α = 90.00°, β = 90.00°, γ = 90.00°
Fractional coordinates of all 5 atoms:
Nb1 0.5000 0.5000 0.5000
N1 0.0000 0.5000 0.0000
N2 0.5000 0.0000 0.0000
Se1 0.0000 0.0000 0.5000
Cd1 0.0000 0.0000 0.0000

***

Version B
Material: NbCdSeN2
Method: DFT, PBE-GGA
State: relaxed

As for the spin magnetization: 0.4 μB per cell.

a = 4.0258 Å, b = 4.0258 Å, c = 5.5900 Å
α = 90.00°, β = 90.00°, γ = 90.00°
Each line ends with the local moment (μB).
Fractional coordinates of all 5 atoms:
Nb1 0.0000 0.0000 0.0000  -0.04
N1 0.0000 0.5000 0.0000  0.18
N2 0.5000 0.0000 0.0000  0.18
Se1 0.0000 0.0000 0.5000  0.00
Cd1 0.5000 0.5000 0.5000  0.00

***

Short version: version B is the most stable of them.

***

Version A
Material: NbCdSe2N
Method: DFT, PBE-GGA
State: relaxed

As for the spin magnetization: 4.4 μB per cell.

a = 5.3159 Å, b = 5.3159 Å, c = 4.0001 Å
α = 90.00°, β = 90.00°, γ = 90.00°
Each line ends with the local moment (μB).
Fractional coordinates of all 5 atoms:
Nb1 0.5000 0.5000 0.5000  2.27
N1 0.0000 0.0000 0.5000  1.05
Se1 0.0000 0.5000 0.0000  0.00
Se2 0.5000 0.0000 0.0000  0.00
Cd1 0.0000 0.0000 0.0000  0.06

***

Version B
Material: NbCdSe2N
Method: DFT, PBE-GGA
State: relaxed

As for the spin magnetization: 0.0 μB per cell.

a = 5.2426 Å, b = 5.2426 Å, c = 3.9050 Å
α = 90.00°, β = 90.00°, γ = 90.00°
Fractional coordinates of all 5 atoms:
Nb1 0.0000 0.0000 0.0000
N1 0.0000 0.0000 0.5000
Se1 0.0000 0.5000 0.0000
Se2 0.5000 0.0000 0.0000
Cd1 0.5000 0.5000 0.5000

***

Short version: version B is the most stable of them.

***

Version A
Material: CdNi2N
Method: DFT, PBE-GGA
State: relaxed

As for the spin magnetization: 0.0 μB per cell.

a = 2.8772 Å, b = 2.8772 Å, c = 7.6783 Å
α = 79.20°, β = 79.20°, γ = 60.00°
Fractional coordinates of all 4 atoms:
Ni1 0.1210 0.1210 0.6371
Ni2 0.8790 0.8790 0.3629
N1 0.5000 0.5000 0.5000
Cd1 0.0000 0.0000 0.0000

***

Version B
Material: CdNi2N
Method: DFT, PBE-GGA
State: relaxed

As for the spin magnetization: 1.9 μB per cell.

a = 4.1405 Å, b = 4.1405 Å, c = 4.1405 Å
α = 60.00°, β = 60.00°, γ = 60.00°
Each line ends with the local moment (μB).
Fractional coordinates of all 4 atoms:
Ni1 0.2500 0.2500 0.2500  0.68
Ni2 0.7500 0.7500 0.7500  0.68
N1 0.0000 0.0000 0.0000  0.47
Cd1 0.5000 0.5000 0.5000  -0.02

***

Version C
Material: CdNi2N
Method: DFT, PBE-GGA
State: relaxed

As for the spin magnetization: 0.0 μB per cell.

a = 4.6779 Å, b = 4.6779 Å, c = 6.3806 Å
α = 68.50°, β = 68.50°, γ = 90.00°
Fractional coordinates of all 8 atoms:
Ni1 0.4124 0.1250 0.2500
Ni2 0.3376 0.6250 0.2500
Ni3 0.3750 0.5876 0.7500
Ni4 0.8750 0.6624 0.7500
N1 0.5000 0.5000 0.0000
N2 0.2500 0.7500 0.5000
Cd1 0.0000 0.0000 0.0000
Cd2 0.7500 0.2500 0.5000

***

Short version: version C is the most stable of them.

***

Version A
Material: CdNi4N
Method: DFT, PBE-GGA
State: relaxed

As for the spin magnetization: 0.0 μB per cell.

a = 3.6180 Å, b = 3.6181 Å, c = 6.0711 Å
α = 90.00°, β = 89.99°, γ = 90.00°
Fractional coordinates of all 6 atoms:
Cd1 0.5000 0.0000 0.0000
Ni1 0.0003 0.5000 0.1921
Ni2 0.9997 0.5000 0.8079
Ni3 0.0000 0.0000 0.5000
Ni4 0.5000 0.5000 0.5000
N1 0.0000 0.5000 0.5000

***

Version B
Material: CdNi4N
Method: DFT, PBE-GGA
State: relaxed

As for the spin magnetization: 1.5 μB per cell.

a = 3.6391 Å, b = 5.8592 Å, c = 7.0391 Å
α = 90.00°, β = 90.00°, γ = 90.00°
Each line ends with the local moment (μB).
Fractional coordinates of all 12 atoms:
Cd1 0.0000 0.5405 0.7500  -0.01
Cd2 0.0000 0.4595 0.2500  -0.01
Ni1 0.0000 0.0000 0.5000  0.06
Ni2 0.0000 0.0000 0.0000  0.06
Ni3 0.5000 0.9331 0.7500  0.03
Ni4 0.5000 0.0669 0.2500  0.03
Ni5 0.5000 0.6951 0.0531  0.36
Ni6 0.5000 0.3049 0.9469  0.36
Ni7 0.5000 0.6951 0.4469  0.36
Ni8 0.5000 0.3049 0.5531  0.36
N1 0.0000 0.9701 0.7500  0.01
N2 0.0000 0.0299 0.2500  0.01

***

Short version: version A is the most stable of them.

***

Version A
Material: CdNiS2N
Method: DFT, PBE-GGA
State: relaxed

As for the spin magnetization: 0.0 μB per cell.

a = 4.6444 Å, b = 3.5599 Å, c = 4.6444 Å
α = 90.00°, β = 90.00°, γ = 90.00°
Fractional coordinates of all 5 atoms:
Ni1 0.0000 0.5000 0.0000
S1 0.0000 0.0000 0.5000
S2 0.5000 0.0000 0.0000
N1 0.0000 0.0000 0.0000
Cd1 0.5000 0.5000 0.5000

***

Version B
Material: CdNiS2N
Method: DFT, PBE-GGA
State: relaxed

As for the spin magnetization: 0.4 μB per cell.

a = 4.8476 Å, b = 4.8476 Å, c = 3.4235 Å
α = 90.00°, β = 90.00°, γ = 90.00°
Each line ends with the local moment (μB).
Fractional coordinates of all 5 atoms:
Ni1 0.0000 0.0000 0.0000  0.04
S1 0.0000 0.5000 0.0000  0.03
S2 0.5000 0.0000 0.0000  0.03
N1 0.0000 0.0000 0.5000  0.18
Cd1 0.5000 0.5000 0.5000  0.00

***

Version C
Material: CdNiS2N
Method: DFT, PBE-GGA
State: relaxed

As for the spin magnetization: 1.8 μB per cell.

a = 5.0103 Å, b = 5.0103 Å, c = 4.0402 Å
α = 90.00°, β = 90.00°, γ = 90.00°
Each line ends with the local moment (μB).
Fractional coordinates of all 5 atoms:
Ni1 0.5000 0.5000 0.5000  1.18
S1 0.0000 0.5000 0.0000  0.21
S2 0.5000 0.0000 0.0000  0.21
N1 0.0000 0.0000 0.5000  -0.03
Cd1 0.0000 0.0000 0.0000  0.00

***

Short version: version B is the most stable of them.

***

Version A
Material: CdNiSe2N
Method: DFT, PBE-GGA
State: relaxed

As for the spin magnetization: 3.7 μB per cell.

a = 5.2820 Å, b = 5.2820 Å, c = 4.1072 Å
α = 90.00°, β = 90.00°, γ = 90.00°
Each line ends with the local moment (μB).
Fractional coordinates of all 5 atoms:
Ni1 0.5000 0.5000 0.5000  1.13
N1 0.0000 0.0000 0.5000  1.13
Se1 0.0000 0.5000 0.0000  0.30
Se2 0.5000 0.0000 0.0000  0.30
Cd1 0.0000 0.0000 0.0000  0.02

***

Version B
Material: CdNiSe2N
Method: DFT, PBE-GGA
State: relaxed

As for the spin magnetization: 0.0 μB per cell.

a = 5.1319 Å, b = 5.1319 Å, c = 3.4143 Å
α = 90.00°, β = 90.00°, γ = 90.00°
Fractional coordinates of all 5 atoms:
Ni1 0.0000 0.0000 0.0000
N1 0.0000 0.0000 0.5000
Se1 0.0000 0.5000 0.0000
Se2 0.5000 0.0000 0.0000
Cd1 0.5000 0.5000 0.5000

***

Short version: version B is the most stable of them.

***

Version A
Material: CdNiTe2N
Method: DFT, PBE-GGA
State: relaxed

As for the spin magnetization: 2.8 μB per cell.

a = 5.6811 Å, b = 5.6811 Å, c = 4.0229 Å
α = 90.00°, β = 90.00°, γ = 90.00°
Each line ends with the local moment (μB).
Fractional coordinates of all 5 atoms:
Ni1 0.5000 0.5000 0.5000  0.83
N1 0.0000 0.0000 0.5000  1.02
Te1 0.0000 0.5000 0.0000  0.15
Te2 0.5000 0.0000 0.0000  0.15
Cd1 0.0000 0.0000 0.0000  0.04

***

Version B
Material: CdNiTe2N
Method: DFT, PBE-GGA
State: relaxed

As for the spin magnetization: 0.0 μB per cell.

a = 5.5400 Å, b = 5.5400 Å, c = 3.4337 Å
α = 90.00°, β = 90.00°, γ = 90.00°
Fractional coordinates of all 5 atoms:
Ni1 0.0000 0.0000 0.0000
N1 0.0000 0.0000 0.5000
Te1 0.0000 0.5000 0.0000
Te2 0.5000 0.0000 0.0000
Cd1 0.5000 0.5000 0.5000

***

Short version: version B is the most stable of them.

***

Version A
Material: Cd2NO
Method: DFT, PBE-GGA
State: relaxed

As for the spin magnetization: 2.0 μB per cell.

a = 5.2805 Å, b = 5.2805 Å, c = 6.1653 Å
α = 64.64°, β = 64.64°, γ = 90.00°
Each line ends with the local moment (μB).
Fractional coordinates of all 8 atoms:
N1 0.5000 0.5000 0.0000  0.57
N2 0.2500 0.7500 0.5000  0.57
O1 0.0000 0.0000 0.0000  0.11
O2 0.7500 0.2500 0.5000  0.11
Cd1 0.6230 0.1250 0.2500  0.05
Cd2 0.1270 0.6250 0.2500  0.05
Cd3 0.3750 0.3770 0.7500  0.06
Cd4 0.8750 0.8730 0.7500  0.04

***

Version B
Material: Cd2NO
Method: DFT, PBE-GGA
State: relaxed

As for the spin magnetization: 1.0 μB per cell.

a = 4.1997 Å, b = 4.1997 Å, c = 4.1997 Å
α = 60.00°, β = 60.00°, γ = 60.00°
Each line ends with the local moment (μB).
Fractional coordinates of all 4 atoms:
N1 0.0000 0.0000 0.0000  0.42
O1 0.5000 0.5000 0.5000  0.39
Cd1 0.2500 0.2500 0.2500  0.00
Cd2 0.7500 0.7500 0.7500  0.00

***

Short version: version A is the most stable of them.

***

Version A
Material: CdP2NO
Method: DFT, PBE-GGA
State: relaxed

As for the spin magnetization: 0.0 μB per cell.

a = 3.5890 Å, b = 3.5890 Å, c = 6.3949 Å
α = 90.00°, β = 90.00°, γ = 90.00°
Fractional coordinates of all 5 atoms:
P1 0.0000 0.5000 0.0000
P2 0.5000 0.0000 0.0000
N1 0.0000 0.0000 0.0000
O1 0.0000 0.0000 0.5000
Cd1 0.5000 0.5000 0.5000

***

Version B
Material: CdP2NO
Method: DFT, PBE-GGA
State: relaxed

As for the spin magnetization: 0.0 μB per cell.

a = 4.9682 Å, b = 4.9682 Å, c = 3.9396 Å
α = 90.00°, β = 90.00°, γ = 90.00°
Fractional coordinates of all 5 atoms:
P1 0.0000 0.5000 0.0000
P2 0.5000 0.0000 0.0000
N1 0.5000 0.5000 0.5000
O1 0.0000 0.0000 0.5000
Cd1 0.0000 0.0000 0.0000

***

Short version: version A is the most stable of them.

***

Version A
Material: CdOsS2N
Method: DFT, PBE-GGA
State: relaxed

As for the spin magnetization: 0.0 μB per cell.

a = 4.9039 Å, b = 4.9039 Å, c = 3.6896 Å
α = 90.00°, β = 90.00°, γ = 90.00°
Fractional coordinates of all 5 atoms:
S1 0.0000 0.5000 0.0000
S2 0.5000 0.0000 0.0000
N1 0.0000 0.0000 0.5000
Os1 0.0000 0.0000 0.0000
Cd1 0.5000 0.5000 0.5000

***

Version B
Material: CdOsS2N
Method: DFT, PBE-GGA
State: relaxed

As for the spin magnetization: 5.3 μB per cell.

a = 5.0223 Å, b = 5.0223 Å, c = 4.0250 Å
α = 90.00°, β = 90.00°, γ = 90.00°
Each line ends with the local moment (μB).
Fractional coordinates of all 5 atoms:
S1 0.0000 0.5000 0.0000  0.12
S2 0.5000 0.0000 0.0000  0.12
N1 0.0000 0.0000 0.5000  1.09
Os1 0.5000 0.5000 0.5000  2.97
Cd1 0.0000 0.0000 0.0000  0.03

***

Short version: version A is the most stable of them.

***

Version A
Material: CdOsSeN2
Method: DFT, PBE-GGA
State: relaxed

As for the spin magnetization: 0.2 μB per cell.

a = 3.8405 Å, b = 3.8405 Å, c = 5.5622 Å
α = 90.00°, β = 90.00°, γ = 90.00°
Each line ends with the local moment (μB).
Fractional coordinates of all 5 atoms:
N1 0.0000 0.5000 0.0000  0.07
N2 0.5000 0.0000 0.0000  0.07
Os1 0.0000 0.0000 0.0000  -0.02
Se1 0.0000 0.0000 0.5000  0.00
Cd1 0.5000 0.5000 0.5000  0.00

***

Version B
Material: CdOsSeN2
Method: DFT, PBE-GGA
State: relaxed

As for the spin magnetization: 6.7 μB per cell.

a = 4.0711 Å, b = 4.0711 Å, c = 6.0815 Å
α = 90.00°, β = 90.00°, γ = 90.00°
Each line ends with the local moment (μB).
Fractional coordinates of all 5 atoms:
N1 0.0000 0.5000 0.0000  1.13
N2 0.5000 0.0000 0.0000  1.13
Os1 0.5000 0.5000 0.5000  2.83
Se1 0.0000 0.0000 0.5000  0.17
Cd1 0.0000 0.0000 0.0000  0.09

***

Short version: version A is the most stable of them.